Record 1
Density functional theory data (PBE with a Hubbard U) for DySbMo2O9 after structural relaxation.

Cell and atoms, written as POSCAR:
```
DySbMo2O9
1.0
6.536 -7.182 0.000
6.536 7.182 0.000
-6.017 0.000 9.050
Dy Sb Mo O
4 4 8 36
Direct
0.126 0.874 0.750
0.329 0.671 0.250
0.671 0.329 0.750
0.874 0.126 0.250
0.349 0.380 0.464
0.380 0.349 0.964
0.620 0.651 0.036
0.651 0.620 0.536
0.046 0.259 0.024
0.057 0.435 0.693
0.259 0.046 0.524
0.435 0.057 0.193
0.565 0.943 0.807
0.741 0.954 0.476
0.943 0.565 0.307
0.954 0.741 0.976
0.021 0.694 0.498
0.042 0.219 0.172
0.069 0.097 0.897
0.094 0.556 0.252
0.097 0.069 0.397
0.130 0.703 0.070
0.144 0.622 0.727
0.209 0.365 0.797
0.219 0.042 0.672
0.222 0.406 0.079
0.297 0.870 0.430
0.306 0.979 0.002
0.365 0.209 0.297
0.378 0.856 0.773
0.406 0.222 0.579
0.423 0.542 0.400
0.444 0.906 0.248
0.458 0.577 0.100
0.542 0.423 0.900
0.556 0.094 0.752
0.577 0.458 0.600
0.594 0.778 0.421
0.622 0.144 0.227
0.635 0.791 0.703
0.694 0.021 0.998
0.703 0.130 0.570
0.778 0.594 0.921
0.781 0.958 0.328
0.791 0.635 0.203
0.856 0.378 0.273
0.870 0.297 0.930
0.903 0.931 0.603
0.906 0.444 0.748
0.931 0.903 0.103
0.958 0.781 0.828
0.979 0.306 0.502
```

Computed properties:
Symmetry: C2/c, No. 15
Total energy (eV per cell): -373.15
Crystal system: monoclinic
Density (Mg/m³): 4.85

=====

Record 2
Density functional theory data (PBE with a Hubbard U) for SmDyMo2O8 after structural relaxation.

Cell and atoms, written as POSCAR:
```
SmDyMo2O8
1.0
-2.645 2.645 5.593
2.645 -2.645 5.593
2.645 2.645 -5.593
Sm Dy Mo O
1 1 2 8
Direct
0.000 0.000 0.000
0.250 0.750 0.500
0.500 0.500 0.000
0.750 0.250 0.500
0.027 0.077 0.423
0.239 0.644 0.059
0.356 0.415 0.595
0.396 0.973 0.050
0.585 0.180 0.941
0.655 0.604 0.577
0.820 0.761 0.405
0.923 0.345 0.950
```

Computed properties:
Symmetry: I-4, No. 82
Total energy (eV per cell): -92.55
Crystal system: tetragonal
Density (Mg/m³): 6.71

=====

Record 3
Density functional theory data (PBE with a Hubbard U) for Sm2DyMoO8 after structural relaxation.

Cell and atoms, written as POSCAR:
```
Sm2DyMoO8
1.0
3.616 -3.668 0.000
3.616 3.668 0.000
0.000 0.000 6.884
Sm Dy Mo O
2 1 1 8
Direct
0.000 0.000 0.250
0.000 0.000 0.750
0.500 0.500 0.000
0.500 0.500 0.500
0.197 0.197 0.000
0.232 0.232 0.500
0.321 0.679 0.289
0.321 0.679 0.711
0.679 0.321 0.289
0.679 0.321 0.711
0.768 0.768 0.500
0.803 0.803 0.000
```

Computed properties:
Symmetry: Cmmm, No. 65
Total energy (eV per cell): -92.07
Crystal system: orthorhombic
Density (Mg/m³): 6.25

=====

Record 4
Density functional theory data (PBE with a Hubbard U) for Sr2DyMoO6 after structural relaxation.

Cell and atoms, written as POSCAR:
```
Sr2DyMoO6
1.0
5.834 0.000 0.000
0.000 5.896 0.000
-5.812 0.000 8.362
Sr Dy Mo O
4 2 2 12
Direct
0.242 0.037 0.247
0.242 0.463 0.747
0.758 0.537 0.253
0.758 0.963 0.753
0.000 0.000 0.500
0.000 0.500 0.000
0.500 0.000 0.000
0.500 0.500 0.500
0.178 0.196 0.960
0.178 0.304 0.460
0.272 0.729 0.959
0.272 0.771 0.459
0.339 0.023 0.762
0.339 0.477 0.262
0.661 0.523 0.738
0.661 0.977 0.238
0.728 0.229 0.541
0.728 0.271 0.041
0.822 0.696 0.540
0.822 0.804 0.040
```

Computed properties:
Symmetry: P2_1/c, No. 14
Total energy (eV per cell): -144.27
Crystal system: monoclinic
Density (Mg/m³): 6.12

=====

Record 5
Density functional theory data (PBE with a Hubbard U) for SrDyMo2O8 after structural relaxation.

Cell and atoms, written as POSCAR:
```
SrDyMo2O8
1.0
-2.666 2.666 5.864
2.666 -2.666 5.864
2.666 2.666 -5.864
Sr Dy Mo O
1 1 2 8
Direct
0.000 0.000 0.000
0.250 0.750 0.500
0.500 0.500 0.000
0.750 0.250 0.500
0.002 0.070 0.420
0.271 0.658 0.099
0.342 0.441 0.612
0.418 0.998 0.068
0.559 0.172 0.901
0.650 0.582 0.580
0.828 0.729 0.388
0.930 0.350 0.932
```

Computed properties:
Symmetry: I-4, No. 82
Total energy (eV per cell): -88.42
Crystal system: tetragonal
Density (Mg/m³): 5.68

=====

Record 6
Density functional theory data (PBE with a Hubbard U) for DyTe2MoO8 after structural relaxation.

Cell and atoms, written as POSCAR:
```
DyTe2MoO8
1.0
6.418 0.000 0.000
-3.209 5.558 0.000
0.000 0.000 5.904
Dy Te Mo O
1 2 1 8
Direct
0.000 0.000 0.000
0.333 0.667 0.314
0.667 0.333 0.686
0.000 0.000 0.500
0.141 0.281 0.286
0.141 0.859 0.286
0.281 0.141 0.714
0.333 0.667 0.620
0.667 0.333 0.380
0.719 0.859 0.286
0.859 0.141 0.714
0.859 0.719 0.714
```

Computed properties:
Symmetry: P-3m1, No. 164
Total energy (eV per cell): -75.67
Crystal system: trigonal
Density (Mg/m³): 5.06